Pm2SnH | PBE | optimized geometry

Unit cell a=4.3720 b=4.3720 c=6.5901 alpha=70.63 beta=70.63 gamma=60.00
Last column: nearest neighbours and their distance in Å.
Positions (direct):
Pm 0.7620 0.7620 0.7140  3 H 2.84, 3 Sn 3.07
Sn 0.0000 0.0000 0.0000  6 Pm 3.07
Pm 0.2380 0.2380 0.2860  3 H 2.84, 3 Sn 3.07
H 0.5000 0.5000 0.5000  6 Pm 2.84

Computed properties:
Density of states at the Fermi level   0.83 states/eV per atom
Size of the total moment   0.29 μB/cell
Space group   R-3m
Distance to the lowest polymorph of the same formula   325 meV per atom

VSb2TeAs | PBE | optimized geometry

Unit cell a=5.1655 b=5.1655 c=5.0084 alpha=90.00 beta=90.00 gamma=90.00
Last column: nearest neighbours and their distance in Å.
Positions (direct):
Sb 0.0000 0.5000 0.0000  2 V 2.58
As 0.5000 0.5000 0.5000  8 Sb 3.60, 4 Te 3.65
Sb 0.5000 0.0000 0.0000  2 V 2.58
Te 0.0000 0.0000 0.5000  2 V 2.50
V 0.0000 0.0000 0.0000  2 Te 2.50, 4 Sb 2.58

Computed properties:
Density of states at the Fermi level   0.83 states/eV per atom
Size of the total moment   1.11 μB/cell
Space group   P4/mmm
Uncorrected formation energy   0.49 eV per atom
Distance to the lowest polymorph of the same formula   0 meV per atom

RbScAgF6 | PBE | optimized geometry

Unit cell a=6.0113 b=5.7973 c=5.8528 alpha=89.20 beta=88.44 gamma=58.85
Last column: nearest neighbours and their distance in Å.
Positions (direct):
Rb 0.0079 0.9839 0.0002  6 F 2.81-2.88
F 0.9813 0.6319 0.6739  1 Sc 2.08, 1 Ag 2.18
Sc 0.6738 0.6525 0.4999  6 F 1.97-2.11
F 0.3865 0.6323 0.3262  1 Sc 2.08, 1 Ag 2.18
F 0.6306 0.9843 0.3093  1 Sc 2.11, 1 Ag 2.15
F 0.3854 0.9835 0.6911  1 Sc 2.11, 1 Ag 2.16
F 0.6536 0.4015 0.7172  1 Sc 1.97
Ag 0.3363 0.3268 0.5002  4 F 2.15-2.18
F 0.9445 0.4032 0.2818  1 Sc 1.97

Computed properties:
Size of the total moment   1.08 μB/cell
Space group   P1
Uncorrected formation energy   -2.76 eV per atom

Repeat the first record exactly.
Pm2SnH | PBE | optimized geometry

Unit cell a=4.3720 b=4.3720 c=6.5901 alpha=70.63 beta=70.63 gamma=60.00
Last column: nearest neighbours and their distance in Å.
Positions (direct):
Pm 0.7620 0.7620 0.7140  3 H 2.84, 3 Sn 3.07
Sn 0.0000 0.0000 0.0000  6 Pm 3.07
Pm 0.2380 0.2380 0.2860  3 H 2.84, 3 Sn 3.07
H 0.5000 0.5000 0.5000  6 Pm 2.84

Computed properties:
Density of states at the Fermi level   0.83 states/eV per atom
Size of the total moment   0.29 μB/cell
Space group   R-3m
Distance to the lowest polymorph of the same formula   325 meV per atom